w.
{"formula": "PmSmS3", "functional": "PBE", "state": "optimized geometry", "spacegroup": "Pnma (62)", "magnetic_moment_mub_per_fu": 0.00, "cell": [[7.4509, 0.0000, 0.0000], [0.0000, 4.0120, 0.0000], [0.0000, 0.0000, 15.5261]], "species": ["Pm", "Pm", "Pm", "Pm", "Sm", "Sm", "Sm", "Sm", "S", "S", "S", "S", "S", "S", "S", "S", "S", "S", "S", "S"], "fractional_positions": [[0.1436, 0.2500, 0.2041], [0.3564, 0.7500, 0.7041], [0.6436, 0.2500, 0.2959], [0.8564, 0.7500, 0.7959], [0.2346, 0.7500, 0.4565], [0.2654, 0.2500, 0.9565], [0.7346, 0.7500, 0.0435], [0.7654, 0.2500, 0.5435], [0.0100, 0.2500, 0.3917], [0.1251, 0.7500, 0.0669], [0.1471, 0.2500, 0.7817], [0.3529, 0.7500, 0.2817], [0.3749, 0.2500, 0.5669], [0.4900, 0.7500, 0.8917], [0.5100, 0.2500, 0.1083], [0.6251, 0.7500, 0.4331], [0.6471, 0.2500, 0.7183], [0.8529, 0.7500, 0.2183], [0.8749, 0.2500, 0.9331], [0.9900, 0.7500, 0.6083]]}

***

x.
{"formula": "PmSmS3", "functional": "PBE", "state": "optimized geometry", "spacegroup": "Pnma (62)", "magnetic_moment_mub_per_fu": 0.00, "cell": [[7.3640, 0.0000, 0.0000], [0.0000, 10.4048, 0.0000], [0.0000, 0.0000, 6.7660]], "species": ["Pm", "Pm", "Pm", "Pm", "Sm", "Sm", "Sm", "Sm", "S", "S", "S", "S", "S", "S", "S", "S", "S", "S", "S", "S"], "fractional_positions": [[0.0000, 0.0000, 0.0000], [0.0000, 0.5000, 0.0000], [0.5000, 0.0000, 0.5000], [0.5000, 0.5000, 0.5000], [0.0914, 0.2500, 0.4572], [0.4086, 0.7500, 0.9572], [0.5914, 0.2500, 0.0428], [0.9086, 0.7500, 0.5428], [0.0711, 0.7500, 0.1622], [0.1873, 0.5879, 0.6795], [0.1873, 0.9121, 0.6795], [0.3127, 0.0879, 0.1795], [0.3127, 0.4121, 0.1795], [0.4289, 0.2500, 0.6622], [0.5711, 0.7500, 0.3378], [0.6873, 0.5879, 0.8205], [0.6873, 0.9121, 0.8205], [0.8127, 0.0879, 0.3205], [0.8127, 0.4121, 0.3205], [0.9289, 0.2500, 0.8378]]}

***

Last place for stability: x